Record 1
A geometry-optimized LiAl2Ag6 structure. Source: Alexandria, functional GGA-PBE.

Its space-group type is No. 15.

Lattice parameters (Å, degrees): 4.7504 8.3194 8.3194 69.18 83.93 83.93
Closest atoms and distances in Å follow each position.
Positions (direct):
Li  0.2500  0.1299  0.8701  8 Ag 2.71-2.87
Ag  0.1903  0.9884  0.2267  3 Li 2.71-2.87, 1 Al 2.73, 5 Ag 2.80-2.93
Ag  0.6419  0.1131  0.3487  4 Al 2.72-2.85, 5 Ag 2.80-2.92
Ag  0.9726  0.4349  0.6809  4 Al 2.69-3.00, 1 Li 2.75, 5 Ag 2.80-2.90
Ag  0.8581  0.6513  0.8869  4 Al 2.72-2.85, 5 Ag 2.80-2.92
Ag  0.0274  0.5651  0.3191  4 Al 2.69-3.00, 1 Li 2.75, 5 Ag 2.80-2.90
Ag  0.6903  0.2267  0.9884  3 Li 2.71-2.87, 1 Al 2.73, 5 Ag 2.80-2.93
Al  0.4136  0.5274  0.7973  9 Ag 2.69-3.00
Ag  0.3097  0.7733  0.0116  3 Li 2.71-2.87, 1 Al 2.73, 5 Ag 2.80-2.93
Ag  0.5274  0.3191  0.5651  4 Al 2.69-3.00, 1 Li 2.75, 5 Ag 2.80-2.90
Ag  0.3581  0.8869  0.6513  4 Al 2.72-2.85, 5 Ag 2.80-2.92
Al  0.9136  0.7973  0.5274  9 Ag 2.69-3.00
Al  0.0864  0.2027  0.4726  9 Ag 2.69-3.00
Ag  0.4726  0.6809  0.4349  4 Al 2.69-3.00, 1 Li 2.75, 5 Ag 2.80-2.90
Al  0.5864  0.4726  0.2027  9 Ag 2.69-3.00
Ag  0.8097  0.0116  0.7733  3 Li 2.71-2.87, 1 Al 2.73, 5 Ag 2.80-2.93
Li  0.7500  0.8701  0.1299  8 Ag 2.71-2.87
Ag  0.1419  0.3487  0.1131  4 Al 2.72-2.85, 5 Ag 2.80-2.92

Record 2
A geometry-optimized Li3AlAg structure. Source: Alexandria, functional GGA-PBE.

As for the energy relative to the lowest polymorph listed for this composition: 0.0000 eV/atom. Its space-group type is No. 11.

Lattice parameters (Å, degrees): 4.4760 5.3209 7.0255 78.47 90.00 90.00
Closest atoms and distances in Å follow each position.
Positions (direct):
Li  0.6243  0.9891  0.1657  4 Li 2.69-2.82, 3 Al 2.78-2.93, 1 Ag 2.89
Li  0.1244  0.5007  0.6718  4 Li 2.69-2.84, 3 Ag 2.71-2.81, 1 Al 2.78
Al  0.1243  0.6846  0.2719  1 Ag 2.67, 2 Al 2.68, 5 Li 2.74-2.93
Ag  0.1245  0.8877  0.8915  1 Al 2.67, 5 Li 2.71-2.89, 2 Ag 2.87
Li  0.1244  0.2885  0.0755  1 Ag 2.71, 1 Al 2.74, 6 Li 2.75-2.84
Li  0.6244  0.8099  0.5717  1 Ag 2.71, 1 Al 2.74, 6 Li 2.75-2.84
Li  0.1243  0.1094  0.4815  4 Li 2.69-2.82, 3 Al 2.78-2.93, 1 Ag 2.89
Al  0.6243  0.4138  0.3753  1 Ag 2.67, 2 Al 2.68, 5 Li 2.74-2.93
Li  0.6244  0.5978  0.9754  4 Li 2.69-2.84, 3 Ag 2.71-2.81, 1 Al 2.78
Ag  0.6245  0.2108  0.7557  1 Al 2.67, 5 Li 2.71-2.89, 2 Ag 2.87

Record 3
A geometry-optimized Li2Al6Ag structure. Source: Alexandria, functional GGA-PBE.

As for the energy relative to the lowest polymorph listed for this composition: 0.0000 eV/atom. Its space-group type is No. 136.

Lattice parameters (Å, degrees): 3.9973 8.5885 8.5886 90.00 90.00 90.00
Closest atoms and distances in Å follow each position.
Positions (direct):
Al  0.0000  0.3327  0.4960  3 Li 2.83-2.92, 8 Al 2.83-2.87, 1 Ag 2.86
Al  0.5000  0.8331  0.3330  6 Al 2.83-2.86, 4 Li 2.84-2.86, 2 Ag 2.85
Al  0.0000  0.9960  0.8327  3 Li 2.83-2.92, 8 Al 2.83-2.87, 1 Ag 2.86
Li  0.9999  0.6641  0.1641  2 Ag 2.82, 10 Al 2.83-2.92
Al  0.5000  0.4960  0.6673  3 Li 2.83-2.92, 8 Al 2.83-2.87, 1 Ag 2.86
Li  0.5001  0.1641  0.3359  2 Ag 2.82, 10 Al 2.83-2.92
Al  0.0000  0.6673  0.5040  3 Li 2.83-2.92, 8 Al 2.83-2.87, 1 Ag 2.86
Al  0.5000  0.1669  0.6670  6 Al 2.83-2.86, 4 Li 2.84-2.86, 2 Ag 2.85
Ag  0.0000  0.0000  0.5000  4 Li 2.82, 8 Al 2.85-2.86
Al  0.0000  0.6669  0.8330  6 Al 2.83-2.86, 4 Li 2.84-2.86, 2 Ag 2.85
Li  0.0001  0.3359  0.8359  2 Ag 2.82, 10 Al 2.83-2.92
Al  0.5000  0.1673  0.9960  3 Li 2.83-2.92, 8 Al 2.83-2.87, 1 Ag 2.86
Li  0.4999  0.8359  0.6641  2 Ag 2.82, 10 Al 2.83-2.92
Ag  0.5000  0.5000  0.0000  4 Li 2.82, 8 Al 2.85-2.86
Al  0.0000  0.3331  0.1669  6 Al 2.83-2.86, 4 Li 2.84-2.86, 2 Ag 2.85
Al  0.5000  0.8327  0.0040  3 Li 2.83-2.92, 8 Al 2.83-2.87, 1 Ag 2.86
Al  0.0000  0.0040  0.1673  3 Li 2.83-2.92, 8 Al 2.83-2.87, 1 Ag 2.86
Al  0.5000  0.5040  0.3327  3 Li 2.83-2.92, 8 Al 2.83-2.87, 1 Ag 2.86

Record 4
A geometry-optimized Li4Al5Ag2 structure. Source: Alexandria, functional GGA-PBE.

Its space-group type is No. 55.

Lattice parameters (Å, degrees): 4.3740 5.4837 14.6887 90.00 90.00 90.00
Closest atoms and distances in Å follow each position.
Positions (direct):
Ag  0.5000  0.0408  0.3055  3 Li 2.62-2.64, 6 Al 2.74-2.83
Al  0.0000  0.0000  0.0000  2 Al 2.72, 8 Li 2.73-2.93
Li  0.5000  0.9064  0.8717  2 Li 2.53-2.56, 2 Ag 2.62-2.64, 2 Al 2.82
Li  0.5000  0.7120  0.0275  3 Li 2.46-2.56, 1 Ag 2.63, 2 Al 2.73
Li  0.5000  0.2120  0.4725  3 Li 2.46-2.56, 1 Ag 2.63, 2 Al 2.73
Al  0.0000  0.9332  0.4098  4 Al 2.72-3.01, 2 Ag 2.74, 6 Li 2.82-2.93
Li  0.5000  0.7880  0.5275  3 Li 2.46-2.56, 1 Ag 2.63, 2 Al 2.73
Ag  0.5000  0.4592  0.8055  3 Li 2.62-2.64, 6 Al 2.74-2.83
Al  0.0000  0.1530  0.7926  4 Ag 2.76-2.83, 2 Li 2.82, 4 Al 2.85-3.01
Al  0.0000  0.5668  0.9098  4 Al 2.72-3.01, 2 Ag 2.74, 6 Li 2.82-2.93
Li  0.5000  0.0936  0.1283  2 Li 2.53-2.56, 2 Ag 2.62-2.64, 2 Al 2.82
Li  0.5000  0.5936  0.3717  2 Li 2.53-2.56, 2 Ag 2.62-2.64, 2 Al 2.82
Ag  0.5000  0.5408  0.1945  3 Li 2.62-2.64, 6 Al 2.74-2.83
Li  0.5000  0.2880  0.9725  3 Li 2.46-2.56, 1 Ag 2.63, 2 Al 2.73
Al  0.0000  0.4332  0.0902  4 Al 2.72-3.01, 2 Ag 2.74, 6 Li 2.82-2.93
Ag  0.5000  0.9592  0.6945  3 Li 2.62-2.64, 6 Al 2.74-2.83
Al  0.0000  0.8470  0.2074  4 Ag 2.76-2.83, 2 Li 2.82, 4 Al 2.85-3.01
Al  0.0000  0.3470  0.2926  4 Ag 2.76-2.83, 2 Li 2.82, 4 Al 2.85-3.01
Al  0.0000  0.0668  0.5902  4 Al 2.72-3.01, 2 Ag 2.74, 6 Li 2.82-2.93
Al  0.0000  0.6530  0.7074  4 Ag 2.76-2.83, 2 Li 2.82, 4 Al 2.85-3.01
Li  0.5000  0.4064  0.6283  2 Li 2.53-2.56, 2 Ag 2.62-2.64, 2 Al 2.82
Al  0.0000  0.5000  0.5000  2 Al 2.72, 8 Li 2.73-2.93

Record 5
A geometry-optimized Li4AlAg4 structure. Source: Alexandria, functional GGA-PBE.

Its space-group type is No. 139.

Lattice parameters (Å, degrees): 4.3524 6.1926 6.1926 82.91 69.43 69.43
Closest atoms and distances in Å follow each position.
Positions (direct):
Li  0.6662  0.9999  0.6676  4 Li 2.73-2.92, 6 Ag 2.74-2.88, 2 Al 2.91
Ag  0.6753  0.3247  0.3247  1 Al 2.66, 6 Li 2.74-2.88, 5 Ag 2.87-2.98
Li  0.6662  0.6676  0.0001  4 Li 2.73-2.92, 6 Ag 2.74-2.88, 2 Al 2.91
Ag  0.0000  0.6753  0.3247  1 Al 2.66, 6 Li 2.74-2.88, 5 Ag 2.87-2.98
Ag  0.3247  0.6753  0.6753  1 Al 2.66, 6 Li 2.74-2.88, 5 Ag 2.87-2.98
Li  0.3338  0.0001  0.3324  4 Li 2.73-2.92, 6 Ag 2.74-2.88, 2 Al 2.91
Li  0.3338  0.3324  0.9999  4 Li 2.73-2.92, 6 Ag 2.74-2.88, 2 Al 2.91
Al  0.0000  0.0000  0.0000  4 Ag 2.66, 8 Li 2.91
Ag  0.0000  0.3247  0.6753  1 Al 2.66, 6 Li 2.74-2.88, 5 Ag 2.87-2.98

Record 6
A geometry-optimized LiAlAg5 structure. Source: Alexandria, functional GGA-PBE.

As for the energy relative to the lowest polymorph listed for this composition: 0.0000 eV/atom. Its space-group type is No. 63.

Lattice parameters (Å, degrees): 4.7782 4.7782 11.0798 90.00 90.00 79.48
Closest atoms and distances in Å follow each position.
Positions (direct):
Ag  0.4438  0.1496  0.6115  2 Al 2.66-2.90, 2 Li 2.75-2.98, 3 Ag 2.81-2.94
Ag  0.1496  0.4438  0.3885  2 Al 2.66-2.90, 2 Li 2.75-2.98, 3 Ag 2.81-2.94
Ag  0.4438  0.1496  0.8885  2 Al 2.66-2.90, 2 Li 2.75-2.98, 3 Ag 2.81-2.94
Li  0.3640  0.6360  0.7500  5 Ag 2.56-2.75
Ag  0.9447  0.0553  0.7500  1 Li 2.56, 2 Al 2.79, 4 Ag 2.81
Al  0.0000  0.0000  0.0000  10 Ag 2.66-2.90
Ag  0.0553  0.9447  0.2500  1 Li 2.56, 2 Al 2.79, 4 Ag 2.81
Ag  0.5562  0.8504  0.1115  2 Al 2.66-2.90, 2 Li 2.75-2.98, 3 Ag 2.81-2.94
Li  0.6360  0.3640  0.2500  5 Ag 2.56-2.75
Ag  0.8504  0.5562  0.8885  2 Al 2.66-2.90, 2 Li 2.75-2.98, 3 Ag 2.81-2.94
Ag  0.5562  0.8504  0.3885  2 Al 2.66-2.90, 2 Li 2.75-2.98, 3 Ag 2.81-2.94
Al  0.0000  0.0000  0.5000  10 Ag 2.66-2.90
Ag  0.1496  0.4438  0.1115  2 Al 2.66-2.90, 2 Li 2.75-2.98, 3 Ag 2.81-2.94
Ag  0.8504  0.5562  0.6115  2 Al 2.66-2.90, 2 Li 2.75-2.98, 3 Ag 2.81-2.94

Record 7
A geometry-optimized Li15Al2Ag2 structure. Source: Alexandria, functional GGA-PBE.

Its space-group type is No. 166.

Lattice parameters (Å, degrees): 7.3234 7.3234 7.3234 67.78 67.78 67.78
Closest atoms and distances in Å follow each position.
Positions (direct):
Li  0.1919  0.5635  0.5635  4 Li 2.50-2.68
Al  0.0894  0.0894  0.0894  9 Li 2.69-2.86, 1 Al 3.00
Li  0.0000  0.7015  0.2985  4 Li 2.44-2.50
Li  0.5635  0.1919  0.5635  4 Li 2.50-2.68
Li  0.2985  0.7015  0.0000  4 Li 2.44-2.50
Li  0.8081  0.4365  0.4365  4 Li 2.50-2.68
Li  0.5000  0.0000  0.0000  2 Al 2.69, 4 Li 2.89
Li  0.5635  0.5635  0.1919  4 Li 2.50-2.68
Li  0.0000  0.2985  0.7015  4 Li 2.44-2.50
Li  0.7015  0.2985  0.0000  4 Li 2.44-2.50
Ag  0.7196  0.7196  0.7196  15 Li 3.01-3.20, 1 Al 3.21
Li  0.7015  0.0000  0.2985  4 Li 2.44-2.50
Li  0.0000  0.0000  0.5000  2 Al 2.69, 4 Li 2.89
Al  0.9106  0.9106  0.9106  9 Li 2.69-2.86, 1 Al 3.00
Ag  0.2804  0.2804  0.2804  15 Li 3.01-3.20, 1 Al 3.21
Li  0.4365  0.4365  0.8081  4 Li 2.50-2.68
Li  0.2985  0.0000  0.7015  4 Li 2.44-2.50
Li  0.4365  0.8081  0.4365  4 Li 2.50-2.68
Li  0.0000  0.5000  0.0000  2 Al 2.69, 4 Li 2.89

Record 8
A geometry-optimized Li2AlAg3 structure. Source: Alexandria, functional GGA-PBE.

As for the energy relative to the lowest polymorph listed for this composition: 0.1133 eV/atom. Its space-group type is No. 63.

Lattice parameters (Å, degrees): 2.9037 5.4201 13.2265 90.00 96.30 90.00
Closest atoms and distances in Å follow each position.
Positions (direct):
Al  0.6667  0.2500  0.3335  4 Ag 2.69-2.71, 2 Al 2.90
Al  0.3333  0.7500  0.6665  4 Ag 2.69-2.71, 2 Al 2.90
Ag  0.5774  0.9999  0.1548  4 Ag 2.71-2.90, 1 Al 2.71, 6 Li 2.82-2.86
Ag  0.4226  0.4999  0.8452  4 Ag 2.71-2.90, 1 Al 2.71, 6 Li 2.82-2.86
Ag  0.4226  0.0001  0.8452  4 Ag 2.71-2.90, 1 Al 2.71, 6 Li 2.82-2.86
Li  0.8450  0.2500  0.6901  6 Ag 2.83-2.85, 2 Li 2.90, 4 Al 3.09
Li  0.0011  0.7500  0.0022  4 Li 2.71-2.90, 8 Ag 2.82-2.86
Li  0.1550  0.7500  0.3099  6 Ag 2.83-2.85, 2 Li 2.90, 4 Al 3.09
Li  0.9989  0.2500  0.9978  4 Li 2.71-2.90, 8 Ag 2.82-2.86
Ag  0.7473  0.7500  0.4945  2 Al 2.69, 2 Li 2.83, 2 Ag 2.90
Ag  0.5774  0.5001  0.1548  4 Ag 2.71-2.90, 1 Al 2.71, 6 Li 2.82-2.86
Ag  0.2527  0.2500  0.5055  2 Al 2.69, 2 Li 2.83, 2 Ag 2.90

no.,energy of formation (meV/atom),calculated density (g/cm3)
1,-79,7.7
2,-188,3.2
3,-85,3.2
4,-115,3.6
5,-191,5.5
6,-60,7.7
7,12,1.9
8,-82,5.9